# 1
Density functional theory data (PBE) for an optimized crystal structure of Tb2PrO.

Cell lengths 3.2116, 3.2116, 8.9778 Å; angles 90.00, 90.00, 90.00 degrees
Fractional positions:
Pr 0.5000 0.5000 0.5000
Tb 0.0000 0.0000 0.8287
Tb 0.0000 0.0000 0.1713
O 0.5000 0.5000 0.0000

Results
Energy   -5.54 eV/atom
E above lowest polymorph   0.420 eV/atom
Total magnetization   0.001 μB/f.u.
Calculated volume   92.6 Å³/f.u.
DOS at the Fermi energy   4.9 states/eV per cell
Energy relative to the elements, uncorrected   -0.7938 eV per atom


# 2
Density functional theory data (PBE) for an optimized crystal structure of TbPr2O.

Cell lengths 3.6706, 3.6706, 9.6275 Å; angles 79.01, 79.01, 60.00 degrees
Fractional positions:
Pr 0.1181 0.1181 0.6456
Pr 0.8819 0.8819 0.3544
Tb 0.0000 0.0000 0.0000
O 0.5000 0.5000 0.5000

Results
Energy   -5.89 eV/atom
E above lowest polymorph   0.000 eV/atom
Total magnetization   0.000 μB/f.u.
Calculated volume   109.6 Å³/f.u.
DOS at the Fermi energy   4.8 states/eV per cell
Energy relative to the elements, uncorrected   -1.0994 eV per atom


# 3
Density functional theory data (PBE) for an optimized crystal structure of TbPrO2.

Cell lengths 3.4859, 3.4859, 6.4055 Å; angles 74.21, 74.21, 60.00 degrees
Fractional positions:
Tb 0.6719 0.6719 0.9842
Pr 0.4947 0.4947 0.5159
O 0.0696 0.0696 0.7912
O 0.2638 0.2638 0.2087

Results
Energy   -7.52 eV/atom
E above lowest polymorph   0.137 eV/atom
Total magnetization   0.000 μB/f.u.
Calculated volume   64.0 Å³/f.u.
DOS at the Fermi energy   0.5 states/eV per cell
Energy relative to the elements, uncorrected   -2.6836 eV per atom


# 4
Density functional theory data (PBE) for an optimized crystal structure of TbPr2O.

Cell lengths 3.2803, 3.2803, 9.2170 Å; angles 90.00, 90.00, 90.00 degrees
Fractional positions:
Pr 0.0000 0.0000 0.8290
Pr 0.0000 0.0000 0.1710
Tb 0.5000 0.5000 0.5000
O 0.5000 0.5000 0.0000

Results
Energy   -5.58 eV/atom
E above lowest polymorph   0.304 eV/atom
Total magnetization   0.000 μB/f.u.
Calculated volume   99.2 Å³/f.u.
DOS at the Fermi energy   5.1 states/eV per cell
Energy relative to the elements, uncorrected   -0.7959 eV per atom


# 5
Density functional theory data (PBE) for an optimized crystal structure of Tb2PrTcO8.

Cell lengths 5.1092, 5.1035, 6.8977 Å; angles 90.00, 90.00, 89.59 degrees
Fractional positions:
Tb 0.5000 0.5000 0.7500
Tb 0.5000 0.5000 0.2500
Pr 0.0000 0.0000 0.5000
Tc 0.0000 0.0000 0.0000
O 0.1830 0.8156 0.2007
O 0.7364 0.7377 0.0000
O 0.8170 0.1844 0.2007
O 0.8170 0.1844 0.7993
O 0.2636 0.2623 0.0000
O 0.1830 0.8156 0.7993
O 0.6831 0.6847 0.5000
O 0.3169 0.3153 0.5000

Results
Energy   -7.92 eV/atom
Total magnetization   0.000 μB/f.u.
Calculated volume   179.9 Å³/f.u.
Energy relative to the elements, uncorrected   -2.5790 eV per atom


# 6
Density functional theory data (PBE) for an optimized crystal structure of TbPrTc2O8.

Cell lengths 5.2857, 5.2857, 6.8481 Å; angles 112.70, 112.70, 90.00 degrees
Fractional positions:
Tb 0.0000 0.0000 0.0000
Pr 0.7500 0.2500 0.5000
Tc 0.5000 0.5000 0.0000
Tc 0.2500 0.7500 0.5000
O 0.7528 0.8336 0.1665
O 0.4137 0.3329 0.1665
O 0.5899 0.6809 0.6750
O 0.0851 0.9941 0.6750
O 0.0059 0.4101 0.3250
O 0.3191 0.9149 0.3250
O 0.1664 0.5863 0.8335
O 0.6671 0.2472 0.8335

Results
Energy   -8.04 eV/atom
Total magnetization   4.042 μB/f.u.
Calculated volume   160.3 Å³/f.u.
DOS at the Fermi energy   0.6 states/eV per cell
Energy relative to the elements, uncorrected   -2.2178 eV per atom